First-principles (PBE) data for crystalline AgBS3 at its relaxed geometry, as listed in Alexandria.

Cell and atoms, written as POSCAR:
```
AgBS3
1.0
-3.790 2.551 1.581
-2.793 -2.067 -3.361
-1.098 -3.548 3.094
S B Ag
3 1 1
Direct
0.000 0.500 0.000 S
0.000 0.000 0.500 S
0.500 0.000 0.000 S
0.500 0.500 0.500 B
0.000 0.000 0.000 Ag
```

DOS(E_F) = 4.54 states/eV/cell
total DFT energy (no corrections) = -0.199 Ry/atom
V = 112.95 Å³ per cell
calculated density = 3159 kg/m³